The following is a DFT calculation (PBE-GGA) of a geometry-optimized Al6C3N2 structure.

Summary:
* size of the total moment: 0.1 μB per cell
* polymorph energy (0 for the lowest one): 0.000 eV/atom
* crystal system: trigonal
* V: 125 Å³/cell
* space group: R-3m

Cell: 13.610 13.610 13.610 Å, 13.83 13.83 13.83°
Positions (direct):
1 Al 0.811 0.811 0.811
2 Al 0.913 0.913 0.913
3 Al 0.309 0.309 0.309
4 Al 0.087 0.087 0.087
5 Al 0.691 0.691 0.691
6 Al 0.189 0.189 0.189
7 C 0.135 0.135 0.135
8 C 0.865 0.865 0.865
9 C 0.000 0.000 0.000
10 N 0.736 0.736 0.736
11 N 0.264 0.264 0.264

The following is a DFT calculation (PBE-GGA) of a geometry-optimized NaAs6 structure.

Summary:
* size of the total moment: 0.0 μB per cell
* crystal system: cubic
* V: 205 Å³/cell
* formation energy from the elements: 0.1935 eV per atom
* space group: Im-3m

Cell: 6.435 6.435 6.435 Å, 109.47 109.47 109.47°
Positions (direct):
1 Na 0.000 0.000 0.000
2 As 0.750 0.500 0.250
3 As 0.750 0.250 0.500
4 As 0.500 0.750 0.250
5 As 0.500 0.250 0.750
6 As 0.250 0.750 0.500
7 As 0.250 0.500 0.750

The following is a DFT calculation (PBE-GGA) of a geometry-optimized LaSm4Th3Se8 structure.

Summary:
* E: -6.35 eV per atom
* size of the total moment: 0.0 μB per cell
* crystal system: trigonal
* V: 419 Å³/cell
* space group: R-3m

Cell: 8.321 8.478 8.319 Å, 119.39 120.01 90.00°
Positions (direct):
1 Se 0.750 0.757 0.004
2 Se 0.248 0.244 0.496
3 Se 0.752 0.756 0.504
4 Se 0.254 0.757 0.004
5 Se 0.250 0.243 0.996
6 Se 0.253 0.757 0.507
7 Se 0.747 0.243 0.493
8 Se 0.746 0.243 0.996
9 Th 0.000 0.500 0.500
10 Th 0.500 0.500 0.500
11 Th 0.500 0.500 0.000
12 Sm 0.500 0.000 0.500
13 Sm 0.500 0.000 0.000
14 Sm 0.000 0.000 0.500
15 Sm 0.000 0.000 0.000
16 La 0.000 0.500 0.000

The following is a DFT calculation (PBE-GGA) of a geometry-optimized Sn2Au2Br structure.

Summary:
* size of the total moment: 0.0 μB per cell
* polymorph energy (0 for the lowest one): 0.000 eV/atom
* crystal system: tetragonal
* V: 246 Å³/cell
* space group: P4/mbm

Cell: 8.315 8.315 3.561 Å, 90.00 90.00 90.00°
Positions (direct):
1 Au 0.619 0.881 0.500
2 Au 0.881 0.381 0.500
3 Au 0.119 0.619 0.500
4 Au 0.381 0.119 0.500
5 Sn 0.312 0.812 0.000
6 Sn 0.812 0.688 0.000
7 Sn 0.188 0.312 0.000
8 Sn 0.688 0.188 0.000
9 Br 0.500 0.500 0.000
10 Br 0.000 0.000 0.000